Density functional theory data (PBE) for a geometry-optimized BeCdB4 structure.

a b c (Å): 3.0264 3.0264 6.8866
angles (deg): 90.00 90.00 120.00
Space group P6/mmm (No. 191)
One atom of each set of equivalent atoms:
Be  0.0000  0.0000  0.0000
Cd  0.0000  0.0000  0.5000
B  0.3333  0.6667  0.1896

Summary:
* polymorph energy (0 for the lowest one): 0 meV per atom
* raw total energy: -4.939 eV per atom

Density functional theory data (PBE) for a geometry-optimized BeCdB4 structure.

a b c (Å): 3.0188 3.0188 6.9711
angles (deg): 90.00 90.00 120.00
Space group P6/mmm (No. 191)
One atom of each set of equivalent atoms:
Be  0.0000  0.0000  0.0000
Cd  0.0000  0.0000  0.5000
B  0.3333  0.6667  0.1859

Summary:
* polymorph energy (0 for the lowest one): 0 meV per atom
* raw total energy: -4.939 eV per atom

Density functional theory data (PBE) for a geometry-optimized BeCdB2 structure.

a b c (Å): 5.6980 5.6980 5.6980
angles (deg): 90.00 90.00 90.00
Space group F-43m (No. 216)
One atom of each set of equivalent atoms:
Be  0.0000  0.0000  0.0000
Cd  0.2500  0.2500  0.2500
B  0.0000  0.0000  0.5000
B  0.2500  0.2500  0.7500

Summary:
* raw total energy: -2.853 eV per atom

Density functional theory data (PBE) for a geometry-optimized BeCdFeB structure.

a b c (Å): 5.6841 5.6841 5.6841
angles (deg): 90.00 90.00 90.00
Space group F-43m (No. 216)
One atom of each set of equivalent atoms:
Be  0.0000  0.0000  0.0000
Cd  0.2500  0.2500  0.7500
Fe  0.0000  0.0000  0.5000
B  0.2500  0.2500  0.2500

Summary:
* polymorph energy (0 for the lowest one): 194 meV per atom
* raw total energy: -4.017 eV per atom

Density functional theory data (PBE) for a geometry-optimized BeCdFeB structure.

a b c (Å): 5.6121 5.6121 5.6121
angles (deg): 90.00 90.00 90.00
Space group F-43m (No. 216)
One atom of each set of equivalent atoms:
Be  0.0000  0.0000  0.0000
Cd  0.2500  0.2500  0.2500
Fe  0.2500  0.2500  0.7500
B  0.0000  0.0000  0.5000

Summary:
* polymorph energy (0 for the lowest one): 0 meV per atom
* raw total energy: -4.211 eV per atom

Density functional theory data (PBE) for a geometry-optimized BeCoB4 structure.

a b c (Å): 2.9266 2.9266 5.9392
angles (deg): 90.00 90.00 120.00
Space group P6/mmm (No. 191)
One atom of each set of equivalent atoms:
Be  0.0000  0.0000  0.0000
Co  0.0000  0.0000  0.5000
B  0.3333  0.6667  0.2444

Summary:
* polymorph energy (0 for the lowest one): 34 meV per atom
* raw total energy: -6.150 eV per atom

Density functional theory data (PBE) for a geometry-optimized BeCoB4 structure.

a b c (Å): 2.9166 5.0917 5.9228
angles (deg): 90.00 90.00 90.00
Space group Immm (No. 71)
One atom of each set of equivalent atoms:
Be  0.0000  0.0000  0.0000
Co  0.0000  0.0000  0.5000
B  0.0000  0.3365  0.2590

Summary:
* polymorph energy (0 for the lowest one): 0 meV per atom
* raw total energy: -6.184 eV per atom

Density functional theory data (PBE) for a geometry-optimized BeCoCuB structure.

a b c (Å): 5.1548 5.1548 5.1548
angles (deg): 90.00 90.00 90.00
Space group F-43m (No. 216)
One atom of each set of equivalent atoms:
Be  0.0000  0.0000  0.0000
Co  0.2500  0.2500  0.2500
Cu  0.2500  0.2500  0.7500
B  0.0000  0.0000  0.5000

Summary:
* polymorph energy (0 for the lowest one): 0 meV per atom
* raw total energy: -5.281 eV per atom

Question: The lowest raw total energy belongs to which entry?
Answer: number 7